# ZrNiAsPt, relaxed, DFT GGA-PBE
# * total magnetic moment: 0.01 μB/f.u.
# * VASP energy: -106.2 eV for the cell shown
data_ZrNiAsPt
_chemical_formula_sum 'Zr4 Ni4 As4 Pt4'
_cell_length_a 6.416
_cell_length_b 6.416
_cell_length_c 6.416
_cell_angle_alpha 90.00
_cell_angle_beta 90.00
_cell_angle_gamma 90.00
_space_group_name_H-M_alt 'F -4 3 m'
_space_group_IT_number 216
_space_group_name_Hall 'F -4 2 3'
loop_
_atom_site_label
_atom_site_fract_x
_atom_site_fract_y
_atom_site_fract_z
Zr1 0.000 0.000 0.000
Ni1 0.250 0.250 0.750
As1 0.000 0.000 0.500
Pt1 0.250 0.250 0.250